No. 1
VASP calculation (PBE) on a relaxed NiHg2Se2 crystal.

Computed properties:
Crystal system   tetragonal
Size of the total moment   0.0 μB per cell
Calculated volume   222.3 Å³/cell
N(E_F)   5.2 states/eV/cell

a b c (Å): 6.834 6.834 4.760
angles (deg): 90.00 90.00 90.00
Atoms (fractional coordinates):
Ni  0.000  0.000  0.000
Ni  0.500  0.500  0.000
Hg  0.148  0.648  0.500
Hg  0.648  0.852  0.500
Hg  0.852  0.352  0.500
Hg  0.352  0.148  0.500
Se  0.301  0.801  0.000
Se  0.801  0.699  0.000
Se  0.699  0.199  0.000
Se  0.199  0.301  0.000

No. 2
VASP calculation (PBE) on a relaxed Ni2HgSe3 crystal.

Computed properties:
Crystal system   trigonal
Size of the total moment   0.0 μB per cell
Calculated volume   247.4 Å³/cell
N(E_F)   6.3 states/eV/cell

a b c (Å): 7.036 7.036 7.057
angles (deg): 60.10 60.10 60.00
Atoms (fractional coordinates):
Ni  0.000  0.000  0.000
Ni  0.500  0.000  0.000
Ni  0.500  0.500  0.000
Ni  0.000  0.500  0.000
Hg  0.222  0.222  0.333
Hg  0.778  0.778  0.667
Se  0.238  0.734  0.789
Se  0.734  0.238  0.789
Se  0.238  0.238  0.789
Se  0.266  0.762  0.211
Se  0.762  0.266  0.211
Se  0.762  0.762  0.211

No. 3
VASP calculation (PBE) on a relaxed NiHg2Se crystal.

Computed properties:
Crystal system   orthorhombic
Size of the total moment   0.0 μB per cell
Calculated volume   85.2 Å³/cell
N(E_F)   2.1 states/eV/cell

a b c (Å): 6.733 6.733 6.733
angles (deg): 154.81 138.87 48.85
Atoms (fractional coordinates):
Hg  0.010  0.010  0.000
Hg  0.679  0.179  0.500
Ni  0.480  0.480  0.000
Se  0.331  0.831  0.500

| no. | ΔE_f (raw) (eV per atom) |
| --- | --- |
| 1 | 0.15 |
| 2 | -0.21 |
| 3 | 0.04 |